# In2GeAs (PBE, relaxed)
# DFT formation energy	0.041	eV per atom
# electronic total energy	-3.645	eV per atom
# DOS at the Fermi energy	2.508	states/eV/f.u.
# ΔE to the lowest computed polymorph	0.000	eV per atom
data_In2GeAs
_cell_length_a 6.284
_cell_length_b 6.284
_cell_length_c 12.129
_cell_angle_alpha 90.00
_cell_angle_beta 90.00
_cell_angle_gamma 90.00
_space_group_name_H-M_alt 'I -4 2 d'
_space_group_IT_number 122
_space_group_name_Hall 'I -4 2bw'
loop_
_atom_site_label
_atom_site_fract_x
_atom_site_fract_y
_atom_site_fract_z
_atom_site_occupancy
In1 0.250 0.250 0.125 1
Ge1 0.000 0.000 0.000 1
As1 0.000 0.000 0.500 1